Record 1
! PBE-GGA YBiO3, relaxed; values from VASP
! E_form (uncorrected)   -2.27 eV per atom
! Fermi-level density of states   0.00 states/eV/cell
! V   493 Å³/cell
&SYSTEM
  ibrav = 0, nat = 30, ntyp = 3
/
ATOMIC_SPECIES
Bi 208.98 Bi.upf
Y 88.91 Y.upf
O 16.00 O.upf
ATOMIC_POSITIONS crystal
Bi 0.667 0.000 0.499
Y 0.333 0.667 0.736
O 0.667 0.333 0.541
O 0.000 0.000 0.950
O 0.333 0.667 0.541
O 0.667 0.333 0.041
O 0.298 0.000 0.179
Bi 0.333 0.000 0.999
Y 0.000 0.000 0.763
O 0.000 0.618 0.324
Y 0.667 0.333 0.236
O 0.382 0.382 0.324
O 0.000 0.298 0.179
O 0.618 0.618 0.824
O 0.333 0.667 0.041
O 0.298 0.298 0.679
O 0.000 0.702 0.679
Y 0.000 0.000 0.263
Y 0.667 0.333 0.736
Y 0.333 0.667 0.236
O 0.618 0.000 0.324
O 0.000 0.000 0.450
O 0.702 0.000 0.679
Bi 0.000 0.333 0.999
Bi 0.667 0.667 0.999
O 0.702 0.702 0.179
Bi 0.000 0.667 0.499
O 0.000 0.382 0.824
O 0.382 0.000 0.824
Bi 0.333 0.333 0.499
CELL_PARAMETERS angstrom
3.307 -5.728 0.000
3.307 5.728 0.000
0.000 0.000 13.019

***

Record 2
! PBE-GGA Y3BiO6, relaxed; values from VASP
! E_form (uncorrected)   -2.91 eV per atom
! Fermi-level density of states   0.00 states/eV/cell
! Distance to the lowest polymorph of the same formula   0 meV per atom
! V   319 Å³/cell
&SYSTEM
  ibrav = 0, nat = 20, ntyp = 3
/
ATOMIC_SPECIES
O 16.00 O.upf
Y 88.91 Y.upf
Bi 208.98 Bi.upf
ATOMIC_POSITIONS crystal
O 0.676 0.104 0.925
O 0.324 0.896 0.075
Y 0.064 0.251 0.554
O 0.104 0.925 0.676
Y 0.749 0.446 0.936
O 0.173 0.524 0.390
Y 0.446 0.936 0.749
O 0.075 0.324 0.896
Y 0.554 0.064 0.251
Bi 0.000 0.000 0.000
Y 0.251 0.554 0.064
O 0.610 0.827 0.476
O 0.827 0.476 0.610
O 0.390 0.173 0.524
Y 0.936 0.749 0.446
O 0.896 0.075 0.324
Bi 0.500 0.500 0.500
O 0.524 0.390 0.173
O 0.925 0.676 0.104
O 0.476 0.610 0.827
CELL_PARAMETERS angstrom
6.833 -0.003 -0.152
-0.155 6.832 -0.152
-0.003 -0.003 6.835

***

Record 3
! PBE-GGA Y3BiO6, relaxed; values from VASP
! E_form (uncorrected)   -2.88 eV per atom
! Fermi-level density of states   0.00 states/eV/cell
! Distance to the lowest polymorph of the same formula   31 meV per atom
! V   297 Å³/cell
&SYSTEM
  ibrav = 0, nat = 20, ntyp = 3
/
ATOMIC_SPECIES
O 16.00 O.upf
Bi 208.98 Bi.upf
Y 88.91 Y.upf
ATOMIC_POSITIONS crystal
O 0.697 0.564 0.099
Bi 0.489 0.825 0.175
Y 0.423 0.400 0.600
O 0.097 0.778 0.222
O 0.193 0.357 0.318
O 0.197 0.099 0.564
Y 0.973 0.696 0.910
O 0.597 0.222 0.778
O 0.697 0.901 0.436
Bi 0.989 0.175 0.825
Y 0.473 0.304 0.090
O 0.693 0.318 0.357
O 0.197 0.436 0.901
O 0.193 0.682 0.643
Y 0.973 0.090 0.304
O 0.693 0.643 0.682
O 0.251 0.020 0.980
O 0.751 0.980 0.020
Y 0.923 0.600 0.400
Y 0.473 0.910 0.696
CELL_PARAMETERS angstrom
5.827 0.000 0.000
0.000 7.238 -0.028
0.000 -1.642 7.049

***

Record 4
! PBE-GGA YBiO3, relaxed; values from VASP
! E_form (uncorrected)   -2.36 eV per atom
! Fermi-level density of states   0.00 states/eV/cell
! V   161 Å³/cell
&SYSTEM
  ibrav = 0, nat = 10, ntyp = 3
/
ATOMIC_SPECIES
Bi 208.98 Bi.upf
O 16.00 O.upf
Y 88.91 Y.upf
ATOMIC_POSITIONS crystal
Bi 0.490 0.490 0.490
O 0.647 0.418 0.091
Bi 0.990 0.990 0.990
O 0.591 0.918 0.147
O 0.147 0.591 0.918
O 0.418 0.091 0.647
Y 0.777 0.777 0.777
Y 0.277 0.277 0.277
O 0.091 0.647 0.418
O 0.918 0.147 0.591
CELL_PARAMETERS angstrom
-0.335 -3.925 -4.757
4.693 -3.751 -1.431
-0.362 -6.104 0.867

***

Record 5
! PBE-GGA YBiO3, relaxed; values from VASP
! E_form (uncorrected)   -2.35 eV per atom
! Fermi-level density of states   0.00 states/eV/cell
! V   309 Å³/cell
&SYSTEM
  ibrav = 0, nat = 20, ntyp = 3
/
ATOMIC_SPECIES
O 16.00 O.upf
Y 88.91 Y.upf
Bi 208.98 Bi.upf
ATOMIC_POSITIONS crystal
O 0.667 0.681 0.933
O 0.833 0.181 0.933
O 0.355 0.055 0.750
O 0.667 0.681 0.567
Y 0.500 0.000 0.500
Y 0.500 0.000 0.000
O 0.167 0.819 0.067
Bi 0.489 0.533 0.250
Y 0.000 0.500 0.500
O 0.333 0.319 0.433
O 0.333 0.319 0.067
O 0.645 0.945 0.250
O 0.145 0.555 0.750
O 0.833 0.181 0.567
Bi 0.989 0.967 0.750
Y 0.000 0.500 0.000
Bi 0.011 0.033 0.250
O 0.855 0.445 0.250
Bi 0.511 0.467 0.750
O 0.167 0.819 0.433
CELL_PARAMETERS angstrom
5.821 0.000 0.000
0.000 6.259 0.000
0.000 0.000 8.485

***

Record 6
! PBE-GGA YBiO3, relaxed; values from VASP
! E_form (uncorrected)   -2.34 eV per atom
! Fermi-level density of states   0.00 states/eV/cell
! V   166 Å³/cell
&SYSTEM
  ibrav = 0, nat = 10, ntyp = 3
/
ATOMIC_SPECIES
O 16.00 O.upf
Bi 208.98 Bi.upf
Y 88.91 Y.upf
ATOMIC_POSITIONS crystal
O 0.672 0.963 0.343
O 0.813 0.604 0.626
Bi 0.633 0.639 0.267
Bi 0.367 0.361 0.733
Y 0.871 0.913 0.741
O 0.328 0.037 0.657
O 0.187 0.396 0.374
Y 0.129 0.087 0.259
O 0.049 0.790 0.098
O 0.951 0.210 0.902
CELL_PARAMETERS angstrom
3.903 0.000 -1.003
0.049 6.787 0.190
-0.432 0.556 6.411